# 1
TcP2BrCl: relaxed, PBE-GGA.

Geometry as extended XYZ:
```
5
Lattice="4.914 0.000 0.000 0.000 4.914 0.000 0.000 0.000 4.922" Properties=species:S:1:pos:R:3 pbc="T T T"
Br 0.000 0.000 0.000
Cl 0.000 0.000 2.461
Tc 2.457 2.457 2.461
P 2.457 0.000 0.000
P 0.000 2.457 0.000
```

Output
size of the total moment: 3.8 μB/cell
crystal system: tetragonal
uncorrected formation energy: 1.681 eV/atom
E above lowest polymorph: 1419 meV/atom
symmetry: P4/mmm
density: 3.8 Mg/m³
VASP energy: -16.30 eV per cell
DOS(E_F): 0.612 states/eV/atom


# 2
SmYMgAl: relaxed, PBE-GGA.

Geometry as extended XYZ:
```
4
Lattice="-4.332 2.978 -0.015 -4.435 -1.801 2.172 -1.767 2.092 4.487" Properties=species:S:1:pos:R:3 pbc="T T T"
Y -7.900 2.451 4.983
Mg -5.267 1.634 3.322
Al 0.000 0.000 0.000
Sm -2.633 0.817 1.661
```

Output
size of the total moment: 0.0 μB/cell
crystal system: cubic
symmetry: F-43m
density: 4.7 Mg/m³
VASP energy: -17.66 eV per cell
DOS(E_F): 0.552 states/eV/atom


# 3
Nd3CuHg3: relaxed, PBE-GGA.

Geometry as extended XYZ:
```
7
Lattice="4.764 0.000 -1.039 -0.183 3.618 -0.840 -0.179 0.547 10.619" Properties=species:S:1:pos:R:3 pbc="T T T"
Nd 1.233 3.287 5.653
Nd 3.199 0.911 3.225
Hg 2.543 2.091 0.219
Nd 4.379 4.139 8.634
Hg 3.905 1.699 6.462
Hg 0.530 2.502 2.428
Cu 1.819 2.029 8.338
```

Output
size of the total moment: 0.0 μB/cell
crystal system: orthorhombic
symmetry: Imm2
density: 9.9 Mg/m³
VASP energy: -21.84 eV per cell
DOS(E_F): 0.938 states/eV/atom


# 4
MgCr2Os: relaxed, PBE-GGA.

Geometry as extended XYZ:
```
4
Lattice="-3.458 -2.280 -1.110 0.260 -2.889 -3.158 -0.188 -4.188 0.905" Properties=species:S:1:pos:R:3 pbc="T T T"
Cr 0.000 0.000 0.000
Os -2.540 -7.018 -2.522
Mg -1.693 -4.679 -1.682
Cr -0.847 -2.339 -0.841
```

Output
size of the total moment: 1.9 μB/cell
crystal system: cubic
symmetry: F-43m
density: 9.5 Mg/m³
VASP energy: -31.05 eV per cell
DOS(E_F): 0.530 states/eV/atom


# 5
K2AlRe: relaxed, PBE-GGA.

Geometry as extended XYZ:
```
4
Lattice="-2.516 1.293 3.673 -3.974 -0.711 2.280 4.164 -7.080 5.832" Properties=species:S:1:pos:R:3 pbc="T T T"
K -2.167 -4.233 8.359
Re -1.601 -2.601 5.417
Al -0.163 -2.257 3.417
K -6.049 -0.076 6.438
```

Output
size of the total moment: 0.0 μB/cell
crystal system: monoclinic
symmetry: Cm
density: 3.8 Mg/m³
VASP energy: -15.44 eV per cell
DOS(E_F): 0.824 states/eV/atom


# 6
NdDyYHo: relaxed, PBE-GGA.

Geometry as extended XYZ:
```
4
Lattice="-3.776 1.647 3.952 0.309 -2.108 5.297 1.661 3.351 4.314" Properties=species:S:1:pos:R:3 pbc="T T T"
Ho -0.904 1.445 6.781
Nd -0.452 0.722 3.391
Dy -1.355 2.167 10.172
Y 0.000 0.000 0.000
```

Output
size of the total moment: 0.0 μB/cell
crystal system: cubic
E above lowest polymorph: 108 meV/atom
symmetry: F-43m
density: 7.1 Mg/m³
VASP energy: -19.91 eV per cell
DOS(E_F): 2.074 states/eV/atom


# 7
AgAsOs2: relaxed, PBE-GGA.

Geometry as extended XYZ:
```
4
Lattice="4.327 0.011 -0.012 3.363 2.723 -0.012 0.848 0.302 5.354" Properties=species:S:1:pos:R:3 pbc="T T T"
Ag 6.404 2.277 3.997
Os 4.273 1.519 2.477
Os 7.687 2.733 0.164
As 2.135 0.759 1.332
```

Output
size of the total moment: 0.0 μB/cell
crystal system: monoclinic
symmetry: C2/m
density: 14.9 Mg/m³
VASP energy: -27.28 eV per cell
DOS(E_F): 0.782 states/eV/atom


# 8
Nb2GeTe: relaxed, PBE-GGA.

Geometry as extended XYZ:
```
4
Lattice="1.214 -3.489 2.933 2.646 0.922 3.794 -1.900 -0.225 4.311" Properties=species:S:1:pos:R:3 pbc="T T T"
Nb 0.490 -0.698 2.760
Te 0.980 -1.396 5.519
Nb 1.470 -2.094 8.279
Ge 0.000 0.000 0.000
```

Output
size of the total moment: 0.0 μB/cell
crystal system: cubic
uncorrected formation energy: -0.100 eV/atom
E above lowest polymorph: 0 meV/atom
symmetry: Fm-3m
density: 8.6 Mg/m³
VASP energy: -28.30 eV per cell
DOS(E_F): 0.770 states/eV/atom


# 9
TiTlF2: relaxed, PBE-GGA.

Geometry as extended XYZ:
```
8
Lattice="5.237 0.000 0.000 0.000 5.237 0.000 2.618 2.618 6.007" Properties=species:S:1:pos:R:3 pbc="T T T"
Ti 2.618 2.618 0.000
F 6.546 5.260 4.506
Tl 0.000 0.000 0.000
F 2.642 1.309 1.502
Ti 2.618 5.237 3.004
F 2.595 3.927 1.502
Tl 5.237 2.618 3.004
F 3.927 5.213 4.506
```

Output
size of the total moment: 2.8 μB/cell
crystal system: tetragonal
uncorrected formation energy: -1.760 eV/atom
E above lowest polymorph: 84 meV/atom
symmetry: I-42d
density: 5.9 Mg/m³
VASP energy: -42.09 eV per cell
DOS(E_F): 0.675 states/eV/atom


# 10
MnTl2Sb: relaxed, PBE-GGA.

Geometry as extended XYZ:
```
4
Lattice="3.369 0.000 0.000 0.000 5.103 0.000 0.000 0.000 6.079" Properties=species:S:1:pos:R:3 pbc="T T T"
Mn 1.684 2.552 1.520
Tl 0.000 0.000 0.031
Tl 0.000 0.000 3.008
Sb 1.684 2.552 4.559
```

Output
size of the total moment: 4.1 μB/cell
crystal system: orthorhombic
uncorrected formation energy: 0.401 eV/atom
E above lowest polymorph: 230 meV/atom
symmetry: Pmmm
density: 9.3 Mg/m³
VASP energy: -16.42 eV per cell
DOS(E_F): 0.644 states/eV/atom


# 11
InN2Cl: relaxed, PBE-GGA.

Geometry as extended XYZ:
```
8
Lattice="4.648 0.000 0.000 0.000 4.648 0.000 2.324 2.324 5.869" Properties=species:S:1:pos:R:3 pbc="T T T"
In 4.648 2.324 2.935
N 3.412 1.162 1.467
N 1.236 3.486 1.467
Cl 2.324 2.324 0.000
N 3.486 3.559 4.402
N 5.809 5.736 4.402
Cl 2.324 4.648 2.935
In 0.000 0.000 0.000
```

Output
size of the total moment: 0.0 μB/cell
crystal system: tetragonal
uncorrected formation energy: 1.481 eV/atom
E above lowest polymorph: 490 meV/atom
symmetry: I-42d
density: 4.7 Mg/m³
VASP energy: -30.63 eV per cell
DOS(E_F): 0.087 states/eV/atom


# 12
NdNi4SnP2: relaxed, PBE-GGA.

Geometry as extended XYZ:
```
8
Lattice="-2.633 -1.008 2.776 -1.925 -2.235 -2.637 4.511 -6.254 2.008" Properties=species:S:1:pos:R:3 pbc="T T T"
Ni -0.363 -1.826 1.813
Ni -0.009 -2.440 -0.894
Ni 2.595 -6.050 0.265
Ni 2.240 -5.436 2.972
Sn 0.000 0.000 0.000
Nd 2.255 -3.127 1.004
P 0.674 -5.716 1.384
P -0.722 -3.781 0.763
```

Output
size of the total moment: 0.0 μB/cell
crystal system: tetragonal
symmetry: P4/mmm
density: 7.4 Mg/m³
VASP energy: -47.62 eV per cell
DOS(E_F): 0.709 states/eV/atom


# 13
TbPm2CuS5: relaxed, PBE-GGA.

Geometry as extended XYZ:
```
18
Lattice="-2.869 -0.682 -2.557 -1.359 -6.013 6.109 -6.867 7.380 5.737" Properties=species:S:1:pos:R:3 pbc="T T T"
S -3.356 1.692 0.334
S -4.146 -1.456 5.041
Pm -2.808 0.758 2.948
Pm -4.901 -3.956 3.576
S -0.648 -0.095 0.753
Pm -5.310 3.691 4.974
Cu -8.312 5.967 4.756
S -8.278 3.569 5.357
Tb -1.159 -2.400 1.941
Cu -5.590 -2.265 6.878
S -5.676 1.555 2.975
Pm -9.120 0.822 7.036
S -7.837 -2.025 6.356
S -3.820 -1.715 1.765
S -8.130 -0.589 9.280
Tb -6.644 -0.453 4.597
S -6.261 1.310 6.677
S -2.012 -4.533 3.467
```

Output
size of the total moment: 0.0 μB/cell
crystal system: orthorhombic
uncorrected formation energy: -1.746 eV/atom
symmetry: Cmc2_1
density: 5.8 Mg/m³
VASP energy: -109.16 eV per cell
DOS(E_F): 0.005 states/eV/atom


# 14
MgZn2Bi: relaxed, PBE-GGA.

Geometry as extended XYZ:
```
4
Lattice="4.503 0.000 0.000 0.000 4.371 0.000 0.000 0.000 4.371" Properties=species:S:1:pos:R:3 pbc="T T T"
Bi 2.252 2.185 2.185
Zn 0.000 0.000 2.185
Mg 2.252 0.000 0.000
Zn 0.000 2.185 0.000
```

Output
size of the total moment: 0.0 μB/cell
crystal system: tetragonal
symmetry: P4/mmm
density: 7.0 Mg/m³
VASP energy: -7.76 eV per cell
DOS(E_F): 0.264 states/eV/atom


# 15
TbPm2Pr5Th: relaxed, PBE-GGA.

Geometry as extended XYZ:
```
18
Lattice="-4.258 2.052 -2.802 0.306 -10.968 -3.109 -6.490 -2.466 8.058" Properties=species:S:1:pos:R:3 pbc="T T T"
Tb -4.750 -9.164 0.508
Pr -3.999 -8.897 -5.826
Pr -8.239 -5.413 3.168
Pr -3.307 -1.293 4.079
Pr -1.411 -7.423 -3.292
Th -0.824 -4.233 -1.847
Pr -5.893 -2.766 1.542
Pm -5.246 -7.320 -2.776
Pm -5.362 -4.125 5.128
Pr -5.551 -7.234 3.139
Tb -2.556 -1.026 -2.255
Pr -4.238 -3.899 -1.803
Pm -8.433 -8.525 1.185
Pr -3.064 -6.295 0.046
Pr -3.807 0.388 0.681
Th -6.477 -5.955 0.094
Pm -2.061 -2.876 1.026
Pr -6.746 -11.811 1.602
```

Output
size of the total moment: 0.0 μB/cell
crystal system: orthorhombic
symmetry: Cmc2_1
density: 7.1 Mg/m³
VASP energy: -88.47 eV per cell
DOS(E_F): 1.381 states/eV/atom


# 16
LiIrW3: relaxed, PBE-GGA.

Geometry as extended XYZ:
```
5
Lattice="4.186 0.000 0.000 0.000 4.186 0.000 0.000 0.000 4.186" Properties=species:S:1:pos:R:3 pbc="T T T"
Li 0.000 0.000 0.000
W 0.000 2.093 0.000
W 2.093 0.000 0.000
W 0.000 0.000 2.093
Ir 2.093 2.093 2.093
```

Output
size of the total moment: 0.0 μB/cell
crystal system: cubic
E above lowest polymorph: 0 meV/atom
symmetry: Pm-3m
density: 17.0 Mg/m³
VASP energy: -43.43 eV per cell
DOS(E_F): 0.702 states/eV/atom


# 17
Nb2Re3B2: relaxed, PBE-GGA.

Geometry as extended XYZ:
```
7
Lattice="-1.952 -0.413 -2.462 2.625 -4.175 0.658 -4.759 -1.061 3.952" Properties=species:S:1:pos:R:3 pbc="T T T"
B -1.331 -4.409 -0.245
Nb -2.275 -1.689 0.048
B -2.755 -1.241 2.393
Re -4.333 -2.747 1.857
Re 0.247 -2.902 0.291
Nb -1.811 -3.961 2.100
Re 0.000 0.000 0.000
```

Output
size of the total moment: 0.0 μB/cell
crystal system: monoclinic
symmetry: C2/m
density: 13.8 Mg/m³
VASP energy: -73.46 eV per cell
DOS(E_F): 0.541 states/eV/atom


# 18
BaLi3Al: relaxed, PBE-GGA.

Geometry as extended XYZ:
```
10
Lattice="-4.144 0.754 -4.557 -4.872 -3.385 3.871 0.693 7.029 0.532" Properties=species:S:1:pos:R:3 pbc="T T T"
Ba -2.199 3.745 0.506
Al 0.693 7.029 0.532
Li -3.429 5.698 -2.277
Al -1.379 7.406 -1.746
Li -5.639 4.163 -0.522
Li -3.743 2.510 -2.519
Ba -6.125 0.652 -0.660
Li -4.581 1.887 2.365
Li -2.685 0.234 0.368
Li -4.894 -1.301 2.123
```

Output
size of the total moment: 0.0 μB/cell
crystal system: hexagonal
E above lowest polymorph: 10 meV/atom
symmetry: P6_3/mmc
density: 2.3 Mg/m³
VASP energy: -22.61 eV per cell
DOS(E_F): 0.807 states/eV/atom


# 19
Li3ScPt2: relaxed, PBE-GGA.

Geometry as extended XYZ:
```
12
Lattice="3.664 0.000 0.975 1.351 6.952 2.295 -0.056 0.642 7.580" Properties=species:S:1:pos:R:3 pbc="T T T"
Sc 3.530 2.131 8.849
Li 2.093 6.491 6.880
Sc 1.429 5.463 2.002
Li 4.293 5.339 5.985
Li 2.864 3.873 3.982
Pt 1.364 2.689 2.248
Li 2.867 1.103 3.971
Li 2.096 3.721 6.868
Pt 2.156 0.901 6.643
Pt 2.804 6.693 4.208
Li 0.667 2.256 4.866
Pt 3.596 4.905 8.603
```

Output
size of the total moment: 0.0 μB/cell
crystal system: monoclinic
symmetry: C2/m
density: 8.0 Mg/m³
VASP energy: -56.23 eV per cell
DOS(E_F): 0.508 states/eV/atom


# 20
Ti6GaAu: relaxed, PBE-GGA.

Geometry as extended XYZ:
```
8
Lattice="4.737 0.000 0.000 0.000 5.032 -2.689 0.000 -0.183 5.702" Properties=species:S:1:pos:R:3 pbc="T T T"
Au 0.000 0.252 5.003
Ga 2.369 1.990 2.206
Ti 2.369 4.508 0.867
Ti 0.000 2.836 0.844
Ti 0.000 2.746 3.617
Ti 2.369 2.076 -0.644
Ti 0.000 0.390 2.153
Ti 2.369 4.597 -1.989
```

Output
size of the total moment: 0.2 μB/cell
crystal system: hexagonal
symmetry: P-6m2
density: 6.9 Mg/m³
VASP energy: -55.67 eV per cell
DOS(E_F): 1.866 states/eV/atom